A relaxed Dy2CdC crystal. Source: Alexandria, functional PBE-GGA.

Summary:
crystal system: orthorhombic
space-group type: Ima2
N(E_F): 4.07 states/eV/cell
E_form: -45.5 kJ/mol of formula units
energy: -4.9538 eV/atom

Cell: 5.058 6.786 6.786 Å, 66.32 68.12 68.12°
Sites, in units of the cell vectors:
Cd 0.171 0.352 0.305
Cd 0.829 0.195 0.148
Dy 0.547 0.228 0.678
Dy 0.453 0.822 0.272
Dy 0.144 0.825 0.887
Dy 0.856 0.613 0.675
C 0.628 0.855 0.889
C 0.372 0.611 0.645

***

A relaxed LaCe3Y2Te6 crystal. Source: Alexandria, functional PBE-GGA.

Summary:
crystal system: monoclinic
space-group type: C2/m
N(E_F): 24.75 states/eV/cell
energy: -5.9289 eV/atom
raw formation energy: -1387 meV/atom

Cell: 7.704 7.704 7.791 Å, 99.53 99.53 120.07°
Last column: magnetic moment on the atom in μB.
Sites, in units of the cell vectors:
Y 0.668 0.332 0.000  0.00
Y 0.332 0.668 0.000  0.00
Te 0.426 0.083 0.247  0.00
Te 0.083 0.426 0.247  0.00
Te 0.574 0.917 0.753  0.00
Te 0.736 0.736 0.240  0.00
Te 0.917 0.574 0.753  0.00
Te 0.264 0.264 0.760  0.00
Ce 0.839 0.161 0.500  -0.93
Ce 0.500 0.500 0.500  0.90
Ce 0.161 0.839 0.500  -0.93
La 0.000 0.000 0.000  0.00

***

A relaxed Ca2MnCl crystal. Source: Alexandria, functional PBE-GGA.

Summary:
crystal system: tetragonal
space-group type: I-42d
energy relative to the lowest polymorph listed for this composition: 269 meV/atom
N(E_F): 4.92 states/eV/cell
energy: -4.0035 eV/atom
raw formation energy: -249 meV/atom

Cell: 7.900 7.900 6.789 Å, 54.42 54.42 90.00°
Last column: magnetic moment on the atom in μB.
Sites, in units of the cell vectors:
Ca 0.875 0.840 0.750  -0.04
Ca 0.375 0.410 0.750  -0.04
Ca 0.160 0.625 0.250  -0.04
Ca 0.590 0.125 0.250  -0.04
Cl 0.250 0.750 0.500  0.00
Cl 0.500 0.500 0.000  0.00
Mn 0.750 0.250 0.500  3.98
Mn 0.000 0.000 0.000  3.98